This record from the Alexandria database describes a relaxed Pr2Dy5HoEr crystal. The functional is PBE.

The space group is I4/mcm (No. 140) and the conventional cell measures 8.582, 8.582 and 15.932 Å, with angles of 90.00, 90.00 and 90.00 degrees. The distinct sites, in fractional coordinates, are Pr at (0.119, 0.381, 0.000), Dy at (0.000, 0.000, 0.000), Dy at (0.215, 0.285, 0.358), Ho at (0.000, 0.000, 0.250) and Er at (0.000, 0.500, 0.250).

The total energy is -4.3603 eV/atom.


This record from the Alexandria database describes a relaxed PrDy6Ho2Er crystal. The functional is PBE.

The space group is C2/c (No. 15) and the conventional cell measures 9.089, 15.009 and 9.505 Å, with angles of 90.00, 96.73 and 90.00 degrees. The distinct sites, in fractional coordinates, are Pr at (0.000, 0.026, 0.250), Dy at (0.063, 0.186, 0.943), Dy at (0.099, 0.391, 0.118), Dy at (0.210, 0.226, 0.317), Ho at (0.247, 0.447, 0.453) and Er at (0.000, 0.410, 0.750).

The total energy is -4.4909 eV/atom.


This record from the Alexandria database describes a relaxed Pr2Dy2HoEr crystal. The functional is PBE.

The space group is Pmma (No. 51) and the conventional cell measures 7.035, 5.661 and 9.824 Å, with angles of 90.00, 90.00 and 90.00 degrees. The distinct sites, in fractional coordinates, are Pr at (0.000, 0.000, 0.000), Pr at (0.250, 0.500, 0.178), Dy at (0.250, 0.000, 0.333), Dy at (0.250, 0.500, 0.836), Ho at (0.250, 0.000, 0.659) and Er at (0.000, 0.500, 0.500).

The total energy is -4.5841 eV/atom.


This record from the Alexandria database describes a relaxed Pr5Dy2HoEr crystal. The functional is PBE.

The space group is Cmc2_1 (No. 36) and the conventional cell measures 5.658, 20.594 and 10.744 Å, with angles of 90.00, 90.00 and 90.00 degrees. The distinct sites, in fractional coordinates, are Pr at (0.000, 0.015, 0.000), Pr at (0.000, 0.118, 0.275), Pr at (0.000, 0.204, 0.962), Pr at (0.000, 0.221, 0.569), Pr at (0.000, 0.485, 0.270), Dy at (0.000, 0.386, 0.559), Dy at (0.000, 0.387, 0.995), Ho at (0.000, 0.302, 0.266) and Er at (0.000, 0.094, 0.722).

The total energy is -4.5547 eV/atom.


This record from the Alexandria database describes a relaxed PrDy2Ho2Er2 crystal. The functional is PBE.

The space group is C2/m (No. 12) and the conventional cell measures 17.588, 3.490 and 8.336 Å, with angles of 90.00, 116.57 and 90.00 degrees. The distinct sites, in fractional coordinates, are Pr at (0.000, 0.000, 0.000), Dy at (0.072, 0.500, 0.413), Ho at (0.211, 0.000, 0.297) and Er at (0.150, 0.500, 0.891).

The total energy is -4.4579 eV/atom.


This record from the Alexandria database describes a relaxed Pr6Dy2HoEr3 crystal. The functional is PBE.

The space group is C2/m (No. 12) and the conventional cell measures 6.290, 10.894 and 11.843 Å, with angles of 90.00, 100.17 and 90.00 degrees. The distinct sites, in fractional coordinates, are Pr at (0.249, 0.000, 0.249), Pr at (0.250, 0.167, 0.751), Dy at (0.000, 0.333, 0.500), Ho at (0.000, 0.000, 0.500), Er at (0.000, 0.167, 0.000) and Er at (0.000, 0.500, 0.000).

The total energy is -4.6664 eV/atom.


This record from the Alexandria database describes a relaxed PrDy6Ho2Er3 crystal. The functional is PBE.

The space group is C2/m (No. 12) and the conventional cell measures 6.138, 10.620 and 11.747 Å, with angles of 90.00, 99.97 and 90.00 degrees. The distinct sites, in fractional coordinates, are Pr at (0.000, 0.000, 0.000), Dy at (0.248, 0.333, 0.747), Dy at (0.249, 0.000, 0.748), Ho at (0.000, 0.333, 0.000), Er at (0.000, 0.167, 0.500) and Er at (0.000, 0.500, 0.500).

The total energy is -4.5841 eV/atom.


This record from the Alexandria database describes a relaxed Pr4Dy2HoEr crystal. The functional is PBE.

The space group is Pmmm (No. 47) and the conventional cell measures 5.153, 5.181 and 10.047 Å, with angles of 90.00, 90.00 and 90.00 degrees. The distinct sites, in fractional coordinates, are Pr at (0.000, 0.000, 0.250), Pr at (0.500, 0.500, 0.250), Dy at (0.000, 0.500, 0.000), Dy at (0.500, 0.000, 0.500), Ho at (0.000, 0.500, 0.500) and Er at (0.500, 0.000, 0.000).

The total energy is -4.6658 eV/atom.


This record from the Alexandria database describes a relaxed PrDy3Ho2Er6 crystal. The functional is PBE.

The space group is C2/m (No. 12) and the conventional cell measures 6.123, 10.595 and 11.703 Å, with angles of 90.00, 100.00 and 90.00 degrees. The distinct sites, in fractional coordinates, are Pr at (0.000, 0.000, 0.000), Dy at (0.000, 0.167, 0.500), Dy at (0.000, 0.500, 0.500), Ho at (0.000, 0.333, 0.000), Er at (0.248, 0.333, 0.749) and Er at (0.250, 0.000, 0.749).

The total energy is -4.5731 eV/atom.


This record from the Alexandria database describes a relaxed Pr4Dy2Ho2Er crystal. The functional is PBE.

The space group is C2/m (No. 12) and the conventional cell measures 15.352, 5.109 and 8.064 Å, with angles of 90.00, 108.50 and 90.00 degrees. The distinct sites, in fractional coordinates, are Pr at (0.054, 0.000, 0.330), Pr at (0.223, 0.500, 0.331), Dy at (0.112, 0.500, 0.671), Ho at (0.167, 0.000, 0.000) and Er at (0.000, 0.500, 0.000).

The total energy is -4.6476 eV/atom.


This record from the Alexandria database describes a relaxed PrDy2Ho4Er crystal. The functional is PBE.

The space group is C2/m (No. 12) and the conventional cell measures 12.291, 7.096 and 12.285 Å, with angles of 90.00, 109.51 and 90.00 degrees. The distinct sites, in fractional coordinates, are Pr at (0.000, 0.000, 0.000), Pr at (0.000, 0.000, 0.500), Dy at (0.000, 0.500, 0.000), Dy at (0.000, 0.500, 0.500), Dy at (0.250, 0.250, 0.000), Ho at (0.000, 0.251, 0.250), Ho at (0.249, 0.500, 0.749), Ho at (0.250, 0.000, 0.750) and Er at (0.250, 0.250, 0.500).

The total energy is -4.5892 eV/atom.


This record from the Alexandria database describes a relaxed PrDyHo4Er2 crystal. The functional is PBE.

The space group is C2/c (No. 15) and the conventional cell measures 13.546, 13.233 and 6.770 Å, with angles of 90.00, 119.98 and 90.00 degrees. The distinct sites, in fractional coordinates, are Pr at (0.250, 0.250, 0.000), Dy at (0.000, 0.000, 0.000), Ho at (0.000, 0.251, 0.002), Ho at (0.249, 0.498, 0.498), Er at (0.000, 0.500, 0.000) and Er at (0.250, 0.250, 0.500).

The total energy is -4.1634 eV/atom.